[1]
Entry from Alexandria via LeMat-Bulk: a relaxed Li3U3NiTe8 crystal (PBE).

Output
- calculated total energy (eV per atom) = -5.31
- E_form (uncorrected) (kJ/mol of formula units) = -875
- theoretical density (g/cm3) = 6.895

abc: 8.6396 8.6396 8.6396
angles: 58.18 58.18 58.18
Positions (direct):
Li (0.0000, 0.5000, 0.5000)
Li (0.5000, 0.0000, 0.5000)
Li (0.5000, 0.5000, 0.0000)
U (0.0000, 0.0000, 0.5000)
U (0.0000, 0.5000, 0.0000)
U (0.5000, 0.0000, 0.0000)
Ni (0.5000, 0.5000, 0.5000)
Te (0.2551, 0.2551, 0.2551)
Te (0.2669, 0.2669, 0.7270)
Te (0.2669, 0.7270, 0.2669)
Te (0.2730, 0.7331, 0.7331)
Te (0.7270, 0.2669, 0.2669)
Te (0.7331, 0.2730, 0.7331)
Te (0.7331, 0.7331, 0.2730)
Te (0.7449, 0.7449, 0.7449)

***

[2]
Entry from Alexandria via LeMat-Bulk: a relaxed LiVNi2Te crystal (PBE).

Output
- calculated total energy (eV per atom) = -4.38
- E_form (uncorrected) (kJ/mol of formula units) = 368
- theoretical density (g/cm3) = 4.949

abc: 4.6425 4.6425 4.7154
angles: 90.00 90.00 90.00
Positions (direct):
Li (0.0000, 0.0000, 0.0000)
V (0.5000, 0.5000, 0.0000)
Ni (0.0000, 0.5000, 0.5000)
Ni (0.5000, 0.0000, 0.5000)
Te (0.0000, 0.0000, 0.5000)

***

[3]
Entry from Alexandria via LeMat-Bulk: a relaxed Li2NiTeW crystal (PBE).

Output
- calculated total energy (eV per atom) = -4.00
- E_form (uncorrected) (kJ/mol of formula units) = 549
- theoretical density (g/cm3) = 5.619

abc: 4.8817 4.8817 4.7625
angles: 90.00 90.00 90.00
Positions (direct):
Li (0.0000, 0.5000, 0.0000)
Li (0.5000, 0.0000, 0.0000)
Ni (0.0000, 0.0000, 0.5000)
Te (0.0000, 0.0000, 0.0000)
W (0.5000, 0.5000, 0.5000)

***

[4]
Entry from Alexandria via LeMat-Bulk: a relaxed Li2ThNi9 crystal (PBE).

Output
- energy above the most stable polymorph in this dataset (eV/atom) = 0.0000
- calculated total energy (eV per atom) = -5.47
- theoretical density (g/cm3) = 8.032

abc: 8.3166 8.3166 8.3166
angles: 33.97 33.97 33.97
Positions (direct):
Li (0.1467, 0.1467, 0.1467)
Li (0.8533, 0.8533, 0.8533)
Th (0.0000, 0.0000, 0.0000)
Ni (0.0833, 0.5871, 0.5871)
Ni (0.3334, 0.3334, 0.3334)
Ni (0.4129, 0.4129, 0.9167)
Ni (0.4129, 0.9167, 0.4129)
Ni (0.5000, 0.5000, 0.5000)
Ni (0.5871, 0.0833, 0.5871)
Ni (0.5871, 0.5871, 0.0833)
Ni (0.6666, 0.6666, 0.6666)
Ni (0.9167, 0.4129, 0.4129)

***

[5]
Entry from Alexandria via LeMat-Bulk: a relaxed Li2ThNi9 crystal (PBE).

Output
- energy above the most stable polymorph in this dataset (eV/atom) = 0.0097
- calculated total energy (eV per atom) = -5.46
- theoretical density (g/cm3) = 8.233

abc: 8.1169 8.1169 4.7399
angles: 90.00 90.00 90.00
Positions (direct):
Li (0.1117, 0.3883, 0.0000)
Li (0.3883, 0.8883, 0.0000)
Li (0.6117, 0.1117, 0.0000)
Li (0.8883, 0.6117, 0.0000)
Th (0.0000, 0.0000, 0.0000)
Th (0.5000, 0.5000, 0.0000)
Ni (0.0000, 0.5000, 0.5000)
Ni (0.0625, 0.2115, 0.5000)
Ni (0.1806, 0.6806, 0.2442)
Ni (0.1806, 0.6806, 0.7558)
Ni (0.2115, 0.9375, 0.5000)
Ni (0.2885, 0.4375, 0.5000)
Ni (0.3194, 0.1806, 0.2442)
Ni (0.3194, 0.1806, 0.7558)
Ni (0.4375, 0.7115, 0.5000)
Ni (0.5000, 0.0000, 0.5000)
Ni (0.5625, 0.2885, 0.5000)
Ni (0.6806, 0.8194, 0.2442)
Ni (0.6806, 0.8194, 0.7558)
Ni (0.7115, 0.5625, 0.5000)
Ni (0.7885, 0.0625, 0.5000)
Ni (0.8194, 0.3194, 0.2442)
Ni (0.8194, 0.3194, 0.7558)
Ni (0.9375, 0.7885, 0.5000)

***

[6]
Entry from Alexandria via LeMat-Bulk: a relaxed LiTh3Ni8 crystal (PBE).

Output
- calculated total energy (eV per atom) = -6.27
- theoretical density (g/cm3) = 10.441

abc: 8.9081 8.9081 8.9081
angles: 32.99 32.99 32.99
Positions (direct):
Li (0.0000, 0.0000, 0.0000)
Th (0.1208, 0.1208, 0.1208)
Th (0.5146, 0.5146, 0.5146)
Th (0.6436, 0.6436, 0.6436)
Ni (0.0731, 0.0731, 0.5726)
Ni (0.0731, 0.5726, 0.0731)
Ni (0.0763, 0.5685, 0.5685)
Ni (0.3223, 0.3223, 0.3223)
Ni (0.5685, 0.0763, 0.5685)
Ni (0.5685, 0.5685, 0.0763)
Ni (0.5726, 0.0731, 0.0731)
Ni (0.8220, 0.8220, 0.8220)